1.
Compound: NiAgMo2
Source: Alexandria via LeMat-Bulk
Functional: GGA-PBE
Structure: relaxed

Computed properties:
Polymorph energy (0 for the lowest one) in eV per formula unit: 2.32
Electronic total energy in eV/atom: -6.794
Density of states at the Fermi level in states/eV/f.u.: 3.688

Lattice parameters (Å, degrees): 7.1457 7.1457 5.6493 50.77 50.77 90.00
Element x y z (fractional)
Ni (0.5000, 0.5000, 0.0000)
Mo (0.5861, 0.1250, 0.2500)
Mo (0.3750, 0.4139, 0.7500)
Ag (0.7500, 0.2500, 0.5000)
Ag (0.0000, 0.0000, 0.0000)
Mo (0.8750, 0.8361, 0.7500)
Ni (0.2500, 0.7500, 0.5000)
Mo (0.1639, 0.6250, 0.2500)

---

2.
Compound: CdFeBr4
Source: Alexandria via LeMat-Bulk
Functional: GGA-PBE
Structure: relaxed

Computed properties:
Formation energy from raw total energies in eV/atom: -0.4588
Polymorph energy (0 for the lowest one) in eV per formula unit: 0.00
Electronic total energy in eV/atom: -3.137
Density of states at the Fermi level in states/eV/f.u.: 4.357

Lattice parameters (Å, degrees): 7.5258 7.5258 9.2337 90.00 90.00 90.00
Site moments in Bohr magnetons follow the coordinates.
Element x y z (fractional)
Br (0.2372, 0.7339, 0.0000)  0.07
Fe (0.0000, 0.5000, 0.0000)  3.46
Br (0.2661, 0.7628, 0.5000)  0.07
Br (0.2661, 0.2372, 0.5000)  0.07
Fe (0.5000, 0.0000, 0.5000)  3.46
Cd (0.0000, 0.0000, 0.5000)  0.00
Cd (0.0000, 0.0000, 0.0000)  0.00
Br (0.7628, 0.7339, 0.0000)  0.07
Br (0.7339, 0.7628, 0.5000)  0.07
Br (0.2372, 0.2661, 0.0000)  0.07
Br (0.7339, 0.2372, 0.5000)  0.07
Br (0.7628, 0.2661, 0.0000)  0.07

---

3.
Compound: LaPmEr2
Source: Alexandria via LeMat-Bulk
Functional: GGA-PBE
Structure: relaxed

Computed properties:
Polymorph energy (0 for the lowest one) in eV per formula unit: 0.03
Electronic total energy in eV/atom: -4.677
Density of states at the Fermi level in states/eV/f.u.: 6.281

Lattice parameters (Å, degrees): 3.6482 6.1625 6.1625 107.54 90.00 90.00
Element x y z (fractional)
Er (0.0000, 0.5000, 0.0000)
Er (0.0000, 0.0000, 0.5000)
La (0.5000, 0.5000, 0.5000)
Pm (0.5000, 0.0000, 0.0000)

---

4.
Compound: MgOsO2
Source: Alexandria via LeMat-Bulk
Functional: GGA-PBE
Structure: relaxed

Computed properties:
Formation energy from raw total energies in eV/atom: -0.7677
Electronic total energy in eV/atom: -6.453
Density of states at the Fermi level in states/eV/f.u.: 2.461

Lattice parameters (Å, degrees): 4.8228 4.8228 5.4757 63.87 63.87 90.00
Element x y z (fractional)
O (0.1464, 0.6250, 0.2500)
Os (0.7500, 0.2500, 0.5000)
Mg (0.2500, 0.7500, 0.5000)
O (0.3750, 0.3964, 0.7500)
Os (0.0000, 0.0000, 0.0000)
O (0.8750, 0.8536, 0.7500)
Mg (0.5000, 0.5000, 0.0000)
O (0.6036, 0.1250, 0.2500)

---

5.
Compound: UTl2SnS4
Source: Alexandria via LeMat-Bulk
Functional: GGA-PBE
Structure: relaxed

Computed properties:
Formation energy from raw total energies in eV/atom: -0.7827
Electronic total energy in eV/atom: -5.349
Density of states at the Fermi level in states/eV/f.u.: 4.018

Lattice parameters (Å, degrees): 4.0996 7.7380 7.2508 72.72 90.00 90.00
Site moments in Bohr magnetons follow the coordinates.
Element x y z (fractional)
Sn (0.5000, 0.5000, 0.0000)  0.00
S (0.0000, 0.7000, 0.7426)  -0.04
U (0.0000, 0.5000, 0.5000)  2.05
S (0.5000, 0.6962, 0.2836)  -0.05
Tl (0.0000, 0.0000, 0.0000)  0.00
Tl (0.5000, 0.0000, 0.5000)  0.00
S (0.0000, 0.3000, 0.2574)  -0.04
S (0.5000, 0.3038, 0.7164)  -0.05

---

6.
Compound: Nd2Y5Er6
Source: Alexandria via LeMat-Bulk
Functional: GGA-PBE
Structure: relaxed

Computed properties:
Electronic total energy in eV/atom: -5.223
Density of states at the Fermi level in states/eV/f.u.: 17.943

Lattice parameters (Å, degrees): 3.5834 11.6555 20.2464 90.00 90.00 90.00
Element x y z (fractional)
Er (0.0000, 0.5613, 0.4231)
Y (0.5000, 0.1994, 0.9474)
Er (0.0000, 0.0779, 0.3648)
Y (0.5000, 0.4092, 0.7212)
Y (0.5000, 0.0000, 0.5000)
Nd (0.0000, 0.8311, 0.2162)
Er (0.5000, 0.1779, 0.6280)
Y (0.5000, 0.5908, 0.2788)
Er (0.5000, 0.8221, 0.3720)
Er (0.0000, 0.4387, 0.5769)
Nd (0.0000, 0.1689, 0.7838)
Er (0.5000, 0.3221, 0.1280)
Y (0.5000, 0.0908, 0.2212)
Er (0.5000, 0.6779, 0.8720)
Er (0.0000, 0.0613, 0.0769)
Er (0.0000, 0.5779, 0.1352)
Y (0.5000, 0.3006, 0.4474)
Er (0.0000, 0.4221, 0.8648)
Y (0.5000, 0.8006, 0.0526)
Nd (0.0000, 0.3311, 0.2838)
Y (0.5000, 0.6994, 0.5526)
Y (0.5000, 0.9092, 0.7788)
Nd (0.0000, 0.6689, 0.7162)
Y (0.5000, 0.5000, 0.0000)
Er (0.0000, 0.9221, 0.6352)
Er (0.0000, 0.9387, 0.9231)

---

7.
Compound: ErTm5Sc4
Source: Alexandria via LeMat-Bulk
Functional: GGA-PBE
Structure: relaxed

Computed properties:
Polymorph energy (0 for the lowest one) in eV per formula unit: 0.43
Electronic total energy in eV/atom: -4.884
Density of states at the Fermi level in states/eV/f.u.: 14.537

Lattice parameters (Å, degrees): 6.0799 7.5200 7.5200 80.59 66.16 66.16
Element x y z (fractional)
Tm (0.0968, 0.6113, 0.0966)
Tm (0.6807, 0.0000, 0.0000)
Sc (0.3963, 0.4110, 0.6986)
Tm (0.1934, 0.9034, 0.6113)
Sc (0.8073, 0.6986, 0.5890)
Tm (0.7080, 0.0966, 0.3887)
Tm (0.8047, 0.3887, 0.9034)
Sc (0.5060, 0.5890, 0.3014)
Sc (0.0950, 0.3014, 0.4110)
Er (0.2221, 0.0000, 0.0000)

---

8.
Compound: Sr2NiIr
Source: Alexandria via LeMat-Bulk
Functional: GGA-PBE
Structure: relaxed

Computed properties:
Electronic total energy in eV/atom: -4.019
Density of states at the Fermi level in states/eV/f.u.: 3.389

Lattice parameters (Å, degrees): 8.7093 8.7093 8.7093 25.01 25.01 25.01
Site moments in Bohr magnetons follow the coordinates.
Element x y z (fractional)
Ir (0.2500, 0.2500, 0.2500)  0.01
Ni (0.7500, 0.7500, 0.7500)  0.34
Sr (0.4998, 0.4998, 0.4998)  -0.01
Sr (0.0002, 0.0002, 0.0002)  -0.01

---

9.
Compound: KNi2Pt
Source: Alexandria via LeMat-Bulk
Functional: GGA-PBE
Structure: relaxed

Computed properties:
Polymorph energy (0 for the lowest one) in eV per formula unit: 1.04
Electronic total energy in eV/atom: -4.101
Density of states at the Fermi level in states/eV/f.u.: 4.596

Lattice parameters (Å, degrees): 9.8451 9.8451 9.8451 16.23 16.23 16.23
Site moments in Bohr magnetons follow the coordinates.
Element x y z (fractional)
K (0.7500, 0.7500, 0.7500)  -0.03
Ni (0.9885, 0.9885, 0.9885)  0.65
Pt (0.2500, 0.2500, 0.2500)  0.23
Ni (0.5115, 0.5115, 0.5115)  0.65

---

10.
Compound: Pr7Al2Ga2
Source: Alexandria via LeMat-Bulk
Functional: GGA-PBE
Structure: relaxed

Computed properties:
Electronic total energy in eV/atom: -4.408
Density of states at the Fermi level in states/eV/f.u.: 14.475

Lattice parameters (Å, degrees): 6.9207 7.6380 6.9207 90.00 109.59 90.00
Element x y z (fractional)
Pr (0.5000, 0.2591, 0.5000)
Pr (0.0000, 0.2857, 0.5000)
Pr (0.0000, 0.0000, 0.0000)
Al (0.1631, 0.5000, 0.1631)
Pr (0.0000, 0.7143, 0.5000)
Ga (0.2885, 0.0000, 0.7115)
Al (0.8369, 0.5000, 0.8369)
Pr (0.5000, 0.7409, 0.5000)
Pr (0.5000, 0.7143, 0.0000)
Ga (0.7115, 0.0000, 0.2885)
Pr (0.5000, 0.2857, 0.0000)